Record 1
Compound: CaCoCuH2
Source: Alexandria
Functional: PBE
Structure: optimized geometry

It has space group P4/mmm (No. 123), with a = 3.798 Å, b = 3.798 Å, c = 4.593 Å, α = 90.00°, β = 90.00° and γ = 90.00°. The asymmetric unit holds Ca at (0.000, 0.000, 0.000), Co at (0.500, 0.500, 0.000), Cu at (0.500, 0.500, 0.500) and H at (0.000, 0.500, 0.500).

The calculated total energy comes out at -3.515 eV/atom.

***

Record 2
Compound: CaHoCoCu
Source: Alexandria
Functional: PBE
Structure: optimized geometry

It has space group F-43m (No. 216), with a = 6.817 Å, b = 6.817 Å, c = 6.817 Å, α = 90.00°, β = 90.00° and γ = 90.00°. The asymmetric unit holds Ca at (0.000, 0.000, 0.000), Ho at (0.000, 0.000, 0.500), Co at (0.250, 0.250, 0.750) and Cu at (0.250, 0.250, 0.250).

Its formation energy is 0.0170 eV/atom. The calculated total energy comes out at -4.428 eV/atom.

***

Record 3
Compound: CaLa2CoCu
Source: Alexandria
Functional: PBE
Structure: optimized geometry

It has space group P4/mmm (No. 123), with a = 5.226 Å, b = 5.226 Å, c = 5.053 Å, α = 90.00°, β = 90.00° and γ = 90.00°. The asymmetric unit holds Ca at (0.000, 0.000, 0.000), La at (0.000, 0.500, 0.500), Co at (0.500, 0.500, 0.500) and Cu at (0.500, 0.500, 0.000).

Its formation energy is 0.0905 eV/atom. The calculated total energy comes out at -4.521 eV/atom.

***

Record 4
Compound: Ca2CoCuN
Source: Alexandria
Functional: PBE
Structure: optimized geometry

It has space group P4/mmm (No. 123), with a = 4.995 Å, b = 4.995 Å, c = 3.531 Å, α = 90.00°, β = 90.00° and γ = 90.00°. The asymmetric unit holds Ca at (0.000, 0.500, 0.000), Co at (0.000, 0.000, 0.500), Cu at (0.500, 0.500, 0.500) and N at (0.000, 0.000, 0.000).

For the uncorrected formation energy, the calculation gives -0.409 eV per atom. The calculated total energy comes out at -5.115 eV/atom.